A plane-wave DFT calculation with GGA-PBE was carried out for a relaxed structure of SrMgCl.

a b c (Å): 5.038 5.038 4.969
angles (deg): 90.00 90.00 120.00
Element x y z (fractional)
Mg (0.667, 0.333, 0.334)
Cl (0.000, 0.000, 0.833)
Sr (0.333, 0.667, 0.834)

- uncorrected formation energy (eV per atom) = -0.80
- symmetry = P3m1 (156)
- final energy (eV per atom) = -2.507
- E above lowest polymorph (meV/atom) = 99